(1)
Compound: NdLu4Th
Source: Alexandria via LeMat-Bulk
Functional: PBE-GGA
Structure: relaxed

Summary:
**DFT total energy**: -4.729 eV/atom

```
6
Lattice="-6.475 0.772 0.799 -2.649 -0.468 5.993 -2.324 5.367 2.992" Properties=species:S:1:pos:R:3 pbc="T T T"
Lu -5.993 0.861 4.619
Lu -5.830 3.779 3.119
Lu -7.155 3.545 6.115
Lu -3.918 3.159 5.716
Nd 0.000 0.000 0.000
Th -2.862 1.418 2.446
```

(2)
Compound: NdLu2Th
Source: Alexandria via LeMat-Bulk
Functional: PBE-GGA
Structure: relaxed

Summary:
**Distance to the lowest polymorph of the same formula**: 2.5 kJ per mole of atoms

```
4
Lattice="4.872 0.000 0.000 0.000 5.072 0.000 0.000 0.000 5.072" Properties=species:S:1:pos:R:3 pbc="T T T"
Lu 0.000 0.000 2.536
Lu 0.000 2.536 0.000
Nd 2.436 0.000 0.000
Th 2.436 2.536 2.536
```

(3)
Compound: NdLuTh2
Source: Alexandria via LeMat-Bulk
Functional: PBE-GGA
Structure: relaxed

Summary:
**Distance to the lowest polymorph of the same formula**: 0.6 kJ per mole of atoms

```
4
Lattice="-0.966 -2.920 -1.788 3.343 -0.403 -1.149 2.123 -5.712 8.181" Properties=species:S:1:pos:R:3 pbc="T T T"
Lu 1.189 -1.661 -1.468
Nd 2.250 -4.517 2.622
Th 1.608 -4.327 6.198
Th 0.515 -1.385 1.983
```

(4)
Compound: NdLuTh2
Source: Alexandria via LeMat-Bulk
Functional: PBE-GGA
Structure: relaxed

Summary:
**Distance to the lowest polymorph of the same formula**: 10.8 kJ per mole of atoms

```
4
Lattice="-2.903 3.959 2.840 -5.585 -0.596 0.785 -2.031 -1.137 5.171" Properties=species:S:1:pos:R:3 pbc="T T T"
Lu -5.259 1.113 4.398
Nd 0.000 0.000 0.000
Th -2.630 0.556 2.199
Th -7.889 1.669 6.597
```

(5)
Compound: NdLuTh4
Source: Alexandria via LeMat-Bulk
Functional: PBE-GGA
Structure: relaxed

Summary:
**DFT total energy**: -6.215 eV/atom

```
6
Lattice="6.630 0.000 0.000 3.315 5.742 0.000 3.315 1.914 5.413" Properties=species:S:1:pos:R:3 pbc="T T T"
Lu 0.000 0.000 0.000
Nd 3.315 1.914 1.353
Th 6.630 3.828 0.671
Th 6.630 1.909 3.385
Th 8.292 4.787 3.385
Th 4.968 4.787 3.385
```

(6)
Compound: NdLuTh
Source: Alexandria via LeMat-Bulk
Functional: PBE-GGA
Structure: relaxed

Summary:
**DFT total energy**: -5.529 eV/atom

```
3
Lattice="-3.396 1.161 0.157 -0.838 -2.071 -2.814 0.402 -5.192 5.995" Properties=species:S:1:pos:R:3 pbc="T T T"
Lu -2.715 -2.423 0.298
Nd -3.817 -6.053 3.298
Th -1.132 -3.728 3.081
```

(7)
Compound: NdLu2Th
Source: Alexandria via LeMat-Bulk
Functional: PBE-GGA
Structure: relaxed

Summary:
**Distance to the lowest polymorph of the same formula**: 8.7 kJ per mole of atoms

```
4
Lattice="-5.154 2.297 0.035 -4.502 -3.189 1.184 -2.745 0.695 4.880" Properties=species:S:1:pos:R:3 pbc="T T T"
Lu -3.100 -0.049 1.525
Lu -9.301 -0.147 4.575
Nd -6.201 -0.098 3.050
Th 0.000 0.000 0.000
```

(8)
Compound: Nd2LuTh
Source: Alexandria via LeMat-Bulk
Functional: PBE-GGA
Structure: relaxed

Summary:
**Distance to the lowest polymorph of the same formula**: 0.0 kJ per mole of atoms

```
4
Lattice="-3.313 0.810 1.172 -1.031 -0.983 3.313 2.544 10.108 5.754" Properties=species:S:1:pos:R:3 pbc="T T T"
Lu -0.900 4.967 5.120
Nd -1.345 7.465 7.685
Nd -0.456 2.470 2.554
Th 0.000 0.000 0.000
```

(9)
Compound: Nd2LuTh
Source: Alexandria via LeMat-Bulk
Functional: PBE-GGA
Structure: relaxed

Summary:
**Distance to the lowest polymorph of the same formula**: 0.7 kJ per mole of atoms

```
4
Lattice="-0.445 -1.976 2.979 3.563 0.003 0.535 -0.839 8.532 5.533" Properties=species:S:1:pos:R:3 pbc="T T T"
Lu 1.559 -0.986 1.757
Nd -0.627 6.375 4.134
Nd -0.212 2.157 1.399
Th 1.139 3.280 4.524
```

(10)
Compound: NdLuTh2
Source: Alexandria via LeMat-Bulk
Functional: PBE-GGA
Structure: relaxed

Summary:
**Distance to the lowest polymorph of the same formula**: 0.0 kJ per mole of atoms

```
4
Lattice="5.129 0.000 0.000 0.000 5.014 0.000 0.000 0.000 5.014" Properties=species:S:1:pos:R:3 pbc="T T T"
Lu 2.564 2.507 2.507
Nd 2.564 0.000 0.000
Th 0.000 0.000 2.507
Th 0.000 2.507 0.000
```

(11)
Compound: NdLuThTl
Source: Alexandria via LeMat-Bulk
Functional: PBE-GGA
Structure: relaxed

Summary:
**DFT total energy**: -4.752 eV/atom

```
4
Lattice="-4.167 -2.872 2.265 0.655 -2.393 4.958 -2.670 2.011 4.424" Properties=species:S:1:pos:R:3 pbc="T T T"
Tl 0.000 0.000 0.000
Lu -3.091 -1.627 5.823
Nd -4.637 -2.440 8.735
Th -1.546 -0.813 2.912
```

(12)
Compound: Nd2LuTi
Source: Alexandria via LeMat-Bulk
Functional: PBE-GGA
Structure: relaxed

Summary:
**Distance to the lowest polymorph of the same formula**: 0.0 kJ per mole of atoms

```
4
Lattice="-3.341 2.036 0.305 -2.010 -3.102 -1.318 -0.834 -2.409 6.943" Properties=species:S:1:pos:R:3 pbc="T T T"
Lu -3.093 -1.738 2.965
Nd -0.650 -1.877 5.409
Nd -0.184 -0.532 1.534
Ti -2.676 -0.533 -0.507
```